Model 1:
ZrCdP2O, relaxed, DFT GGA-PBE; crystal system = tetragonal; DOS at the Fermi energy = 5.294 states/eV/cell
1.0
5.237 0.000 0.000
0.000 5.237 0.000
0.000 0.000 3.987
Zr Cd P O
1 1 2 1
Cartesian
0.000 0.000 0.000
2.618 2.618 1.994
0.000 2.618 0.000
2.618 0.000 0.000
0.000 0.000 1.994


Model 2:
ZrCdP2O, relaxed, DFT GGA-PBE; crystal system = tetragonal; DOS at the Fermi energy = 3.692 states/eV/cell
1.0
4.871 0.000 0.000
0.000 4.871 0.000
0.000 0.000 4.024
Zr Cd P O
1 1 2 1
Cartesian
0.000 0.000 0.000
2.435 2.435 2.012
0.000 2.435 2.012
2.435 0.000 2.012
2.435 2.435 0.000


Verdict on stability: model 1 comes out on top.


Model 1:
CdPbO2, relaxed, DFT GGA-PBE; crystal system = trigonal; DOS at the Fermi energy = 1.329 states/eV/cell
1.0
1.710 0.987 6.715
-1.710 0.987 6.715
0.000 -1.975 6.715
Cd Pb O
1 1 2
Cartesian
0.000 0.000 0.000
0.000 0.000 10.072
0.000 0.000 7.898
0.000 0.000 12.246


Model 2:
CdPbO2, relaxed, DFT GGA-PBE; crystal system = monoclinic
1.0
3.818 0.000 0.000
0.000 7.353 0.000
-3.808 0.000 5.428
Cd Pb O
2 2 4
Cartesian
0.000 0.893 0.000
-1.904 6.460 2.714
-1.898 2.525 2.920
0.006 4.828 0.206
1.909 0.733 1.145
0.005 6.620 3.859
0.014 2.935 4.365
1.918 4.418 1.651


Verdict on stability: model 2 comes out on top.


Model 1:
Cd2PbO, relaxed, DFT GGA-PBE; crystal system = trigonal; DOS at the Fermi energy = 0.516 states/eV/cell
1.0
1.703 0.983 8.743
-1.703 0.983 8.743
0.000 -1.966 8.743
Cd Pb O
2 1 1
Cartesian
0.000 0.000 2.978
0.000 0.000 23.252
0.000 0.000 0.000
0.000 0.000 13.115


Model 2:
Cd2PbO, relaxed, DFT GGA-PBE; crystal system = cubic; DOS at the Fermi energy = 2.333 states/eV/cell
1.0
0.000 3.501 3.501
3.501 0.000 3.501
3.501 3.501 0.000
Cd Pb O
2 1 1
Cartesian
1.751 1.751 1.751
5.252 5.252 5.252
0.000 0.000 0.000
3.501 3.501 3.501


Model 3:
Cd2PbO, relaxed, DFT GGA-PBE; crystal system = tetragonal; DOS at the Fermi energy = 2.072 states/eV/cell
1.0
-3.322 3.322 4.430
3.322 -3.322 4.430
3.322 3.322 -4.430
Cd Pb O
4 2 2
Cartesian
4.983 0.995 -1.107
0.995 1.661 1.107
-1.661 2.327 3.322
2.327 1.661 5.537
3.322 0.000 2.215
0.000 0.000 4.430
0.000 0.000 0.000
0.000 3.322 2.215


Verdict on stability: model 1 comes out on top.


Model 1:
CdPb2O3, relaxed, DFT GGA-PBE; crystal system = monoclinic
1.0
5.586 -2.909 0.000
5.586 2.909 0.000
-2.153 0.000 6.684
Cd Pb O
2 4 6
Cartesian
3.971 2.703 5.013
5.048 -2.703 1.671
1.732 0.090 6.304
2.809 -0.090 2.962
6.210 0.090 3.722
7.286 -0.090 0.380
1.463 0.595 0.207
0.387 -0.595 3.549
3.971 0.359 5.013
5.048 -0.359 1.671
8.632 0.595 3.135
7.555 -0.595 6.477


Model 2:
CdPb2O3, relaxed, DFT GGA-PBE; crystal system = orthorhombic
1.0
7.944 -3.046 0.000
7.944 3.046 0.000
0.000 0.000 6.098
Cd Pb O
2 4 6
Cartesian
7.944 3.010 3.049
7.944 -3.010 0.000
5.188 1.151 5.084
10.699 1.151 5.084
5.188 -1.151 2.034
10.699 -1.151 2.034
4.262 0.586 3.080
7.944 1.718 1.499
4.262 -0.586 0.030
11.626 0.586 3.080
7.944 -1.718 4.548
11.626 -0.586 0.030


Verdict on stability: model 1 comes out on top.